(1)
Re2PtAu | PBE | optimized geometry

abc: 9.505 9.505 9.505
angles: 16.95 16.95 16.95
Fractional coordinates of all 4 atoms:
Au  0.499  0.499  0.499
Pt  0.254  0.254  0.254
Re  0.003  0.003  0.003
Re  0.744  0.744  0.744

Results
Energy above the lowest structure with this stoichiometry ... 0.000 eV/atom
Energy relative to the elements ... 0.3 eV per formula unit

(2)
Th2PaNi | PBE | optimized geometry

abc: 3.505 3.505 8.182
angles: 90.00 90.00 90.00
Fractional coordinates of all 4 atoms:
Ni  0.500  0.500  0.000
Pa  0.500  0.500  0.500
Th  0.000  0.000  0.789
Th  0.000  0.000  0.211

Results
Energy above the lowest structure with this stoichiometry ... 0.000 eV/atom
Energy relative to the elements ... -0.2 eV per formula unit

(3)
CrFeH3 | PBE | optimized geometry

abc: 3.285 3.285 3.285
angles: 90.00 90.00 90.00
Fractional coordinates of all 5 atoms:
Cr  0.000  0.000  0.000
Fe  0.500  0.500  0.500
H  0.000  0.500  0.000
H  0.000  0.000  0.500
H  0.500  0.000  0.000

Results
VASP energy ... -0.1940 Ha/atom

(4)
SmPuP2 | PBE | optimized geometry

abc: 4.013 4.013 6.992
angles: 90.00 90.00 120.00
Fractional coordinates of all 4 atoms:
Sm  0.000  0.500  0.500
Pu  0.000  0.500  0.000
P  0.667  0.833  0.760
P  0.333  0.167  0.240

Results
Energy above the lowest structure with this stoichiometry ... 0.233 eV/atom
Energy relative to the elements ... -4.5 eV per formula unit

(5)
AlMo2Se | PBE | optimized geometry

abc: 4.847 4.847 4.847
angles: 130.63 130.63 72.40
Fractional coordinates of all 4 atoms:
Mo  0.000  0.000  0.000
Mo  0.250  0.750  0.500
Al  0.750  0.250  0.500
Se  0.500  0.500  0.000

Results
Formation energy (no corrections) ... 266 meV/atom
Energy above the lowest structure with this stoichiometry ... 0.355 eV/atom

(6)
CsI2OF | PBE | optimized geometry

abc: 7.589 7.589 4.399
angles: 90.00 90.00 90.00
Fractional coordinates of all 5 atoms:
Cs  0.000  0.000  0.000
I  0.000  0.500  0.000
I  0.500  0.000  0.000
O  0.000  0.000  0.500
F  0.500  0.500  0.500

Results
Formation energy (no corrections) ... 298 meV/atom
Energy above the lowest structure with this stoichiometry ... 0.620 eV/atom

(7)
CoRuCl3 | PBE | optimized geometry

abc: 3.795 3.795 15.319
angles: 90.00 90.00 120.00
Fractional coordinates of all 10 atoms:
Ru  0.000  0.000  0.000
Ru  0.000  0.000  0.500
Co  0.333  0.667  0.750
Co  0.667  0.333  0.250
Cl  0.000  0.000  0.250
Cl  0.000  0.000  0.750
Cl  0.333  0.667  0.924
Cl  0.333  0.667  0.576
Cl  0.667  0.333  0.424
Cl  0.667  0.333  0.076

Results
Formation energy (no corrections) ... -18 meV/atom
Energy above the lowest structure with this stoichiometry ... 0.230 eV/atom

(8)
MgCr2Se4 | PBE | optimized geometry

abc: 7.614 7.614 7.614
angles: 60.00 60.00 60.00
Fractional coordinates of all 14 atoms:
Mg  0.750  0.750  0.750
Mg  0.500  0.500  0.500
Cr  0.125  0.125  0.625
Cr  0.625  0.125  0.125
Cr  0.125  0.625  0.125
Cr  0.125  0.125  0.125
Se  0.888  0.888  0.336
Se  0.914  0.362  0.362
Se  0.362  0.362  0.362
Se  0.362  0.914  0.362
Se  0.888  0.888  0.888
Se  0.888  0.336  0.888
Se  0.362  0.362  0.914
Se  0.336  0.888  0.888

Results
Formation energy (no corrections) ... -734 meV/atom

Respective magnetization values: 0.000, 0.000, 1.008, 1.248, 0.000, 0.514, 0.400, 0.857 μB per atom.